FeAsSe2F after structural relaxation, computed with PBE+U.

abc: 4.727 4.727 4.795
angles: 90.00 90.00 90.00
Atoms (fractional coordinates):
Se1 0.500 0.000 0.000
Se2 0.000 0.500 0.000
Fe1 0.000 0.000 0.000
As1 0.000 0.000 0.500
F1 0.500 0.500 0.500

Output
Density of states at the Fermi level, states/eV/cell: 4.4
Energy, eV per atom: -3.44
Size of the total moment, Bohr magnetons per cell: 4.0